[1]
Compound: Y2ScCu4Ge4
Source: OQMD via LeMat-Bulk
Functional: GGA-PBE
Structure: optimized geometry

Geometry as extended XYZ:
```
11
Lattice="-2.0910 3.2823 6.9058 2.0910 -3.2823 6.9058 2.0910 3.2823 -6.9058" Properties=species:S:1:pos:R:3 pbc="T T T"
Cu 0.0000 2.0283 9.2599
Cu 2.0910 1.2539 -2.3541
Cu 2.0910 1.2539 2.3541
Ge 0.0000 0.0000 10.8663
Y 0.0000 3.2823 1.7791
Sc 0.0000 0.0000 0.0000
Ge 0.0000 0.0000 2.9453
Ge 2.0910 1.9620 0.0000
Cu 0.0000 2.0283 4.5516
Ge 0.0000 1.3202 6.9058
Y 2.0910 0.0000 5.1266
```

Calculated values
Crystal system: orthorhombic
Total DFT energy (no corrections): -5.3868 eV/atom



[2]
Compound: Li2CdB
Source: OQMD via LeMat-Bulk
Functional: GGA-PBE
Structure: optimized geometry

Geometry as extended XYZ:
```
4
Lattice="3.9580 0.6944 1.0312 1.2124 -0.3820 3.9491 2.4362 -3.1639 1.1252" Properties=species:S:1:pos:R:3 pbc="T T T"
Li 0.0000 0.0000 0.0000
B 3.8033 -1.4257 3.0527
Cd 1.9016 -0.7129 1.5264
Li 5.7049 -2.1386 4.5791
```

Calculated values
Crystal system: cubic
Total DFT energy (no corrections): -2.5880 eV/atom